No. 1
PaTlZn2: relaxed, PBE.

extended XYZ file:
```
4
Lattice="4.9140 0.0000 0.0000 2.4570 4.2557 0.0000 2.4570 1.4186 4.0123" Properties=species:S:1:pos:R:3 pbc="T T T"
Zn 7.3711 4.2557 3.0092
Tl 0.0000 0.0000 0.0000
Zn 2.4570 1.4186 1.0031
Pa 4.9140 2.8371 2.0062
```

DOS at the Fermi energy   0.672 states/eV/atom
ΔH_f (0 K)   0.6 eV per formula unit
Space-group type   Fm-3m (225)
VASP energy   -3.463 eV/atom

=====

No. 2
PaTlZn: relaxed, PBE.

extended XYZ file:
```
3
Lattice="-1.9846 1.0297 -2.3011 -3.6610 -2.7238 1.9387 0.6776 4.6743 1.5073" Properties=species:S:1:pos:R:3 pbc="T T T"
Tl -0.3302 0.1713 -0.3829
Pa -3.5381 0.4288 0.2606
Zn -1.0998 2.3801 1.2672
```

DOS at the Fermi energy   1.171 states/eV/atom
ΔH_f (0 K)   0.4 eV per formula unit
Space-group type   P-6m2 (187)
VASP energy   -4.242 eV/atom

=====

No. 3
PaTlZn4: relaxed, PBE.

extended XYZ file:
```
6
Lattice="-3.8951 3.8701 0.4650 -2.2638 1.0545 4.9122 1.1157 4.7350 2.5886" Properties=species:S:1:pos:R:3 pbc="T T T"
Zn -3.7213 3.6586 3.6814
Zn -3.1581 6.0490 4.9883
Zn -1.1917 4.0952 4.7535
Zn -2.0152 5.5166 2.5084
Tl -1.2608 2.4149 1.9914
Pa 0.0000 0.0000 0.0000
```

DOS at the Fermi energy   1.264 states/eV/atom
ΔH_f (0 K)   0.9 eV per formula unit
Space-group type   F-43m (216)
VASP energy   -2.679 eV/atom

=====

No. 4
PaTlZn: relaxed, PBE.

extended XYZ file:
```
3
Lattice="-2.8682 -0.7687 0.5050 -0.4296 -0.3427 -2.9615 3.9338 -7.5701 1.8370" Properties=species:S:1:pos:R:3 pbc="T T T"
Zn 0.3901 -7.8069 -0.6849
Pa 0.5571 -1.9813 0.1484
Tl -0.3607 -5.1369 -0.8850
```

DOS at the Fermi energy   1.484 states/eV/atom
ΔH_f (0 K)   1.4 eV per formula unit
Space-group type   I4mm (107)
VASP energy   -3.895 eV/atom

=====

No. 5
PaTlZn2: relaxed, PBE.

extended XYZ file:
```
4
Lattice="-0.8847 -2.3282 3.3986 -3.5796 -1.8053 -2.1685 2.6544 -3.3426 -1.5989" Properties=species:S:1:pos:R:3 pbc="T T T"
Zn -1.7898 -0.9027 -1.0843
Pa -0.9049 -3.7381 -0.1844
Zn 1.3272 -1.6713 -0.7994
Tl -0.4423 -1.1641 1.6993
```

DOS at the Fermi energy   1.469 states/eV/atom
ΔH_f (0 K)   0.5 eV per formula unit
Space-group type   P4/mmm (123)
VASP energy   -3.468 eV/atom

=====

No. 6
Zr2PaTl: relaxed, PBE.

extended XYZ file:
```
4
Lattice="3.3318 0.0000 0.0000 1.6659 2.8854 0.0000 1.6659 0.9618 10.2421" Properties=species:S:1:pos:R:3 pbc="T T T"
Tl 3.3318 1.9236 5.1210
Pa 0.0000 0.0000 0.0000
Zr 4.9977 2.8854 7.6648
Zr 1.6659 0.9618 2.5772
```

DOS at the Fermi energy   1.523 states/eV/atom
ΔH_f (0 K)   0.3 eV per formula unit
Space-group type   R-3m (166)
VASP energy   -7.160 eV/atom